[1]
This record from the Open Quantum Materials Database describes NiTe2 after structural relaxation. The functional is PBE-GGA.

abc: 6.5772 6.5772 6.5772
angles: 32.68 32.68 32.68
Closest atoms and distances in Å follow each position.
Sites, in units of the cell vectors:
Ni 0.9997 0.9997 0.9997  6 Te 2.59-2.60
Te 0.5870 0.5870 0.5870  3 Ni 2.60
Te 0.7446 0.7446 0.7446  3 Ni 2.59

Output
Final energy, eV per atom: -4.063
Space group: No. 160
Calculated volume, Å³/cell: 73.8



[2]
This record from the Open Quantum Materials Database describes Ni2Te3 after structural relaxation. The functional is PBE-GGA.

abc: 6.6274 6.6274 6.8840
angles: 118.77 61.23 120.00
Closest atoms and distances in Å follow each position.
Sites, in units of the cell vectors:
Ni 0.6503 0.3497 0.0492  6 Te 2.58-2.65
Ni 0.8497 0.1503 0.4508  6 Te 2.58-2.65
Ni 0.1503 0.8497 0.5492  6 Te 2.58-2.65
Ni 0.3497 0.6503 0.9508  6 Te 2.58-2.65
Te 0.5546 0.7500 0.2500  4 Ni 2.58-2.65
Te 0.9454 0.4454 0.2500  4 Ni 2.58-2.65
Te 0.2500 0.0546 0.2500  4 Ni 2.58-2.65
Te 0.7500 0.9454 0.7500  4 Ni 2.58-2.65
Te 0.0546 0.5546 0.7500  4 Ni 2.58-2.65
Te 0.4454 0.2500 0.7500  4 Ni 2.58-2.65

Output
Final energy, eV per atom: -4.297
Space group: No. 167
Calculated volume, Å³/cell: 217.7



[3]
This record from the Open Quantum Materials Database describes Ni3Te after structural relaxation. The functional is PBE-GGA.

abc: 5.3418 5.3418 4.2839
angles: 90.00 90.00 120.00
Closest atoms and distances in Å follow each position.
Sites, in units of the cell vectors:
Ni 0.1612 0.3224 0.2500  8 Ni 2.58-2.76, 4 Te 2.67
Ni 0.1612 0.8388 0.2500  8 Ni 2.58-2.76, 4 Te 2.67
Ni 0.6776 0.8388 0.2500  8 Ni 2.58-2.76, 4 Te 2.67
Ni 0.3224 0.1612 0.7500  8 Ni 2.58-2.76, 4 Te 2.67
Ni 0.8388 0.1612 0.7500  8 Ni 2.58-2.76, 4 Te 2.67
Ni 0.8388 0.6776 0.7500  8 Ni 2.58-2.76, 4 Te 2.67
Te 0.6667 0.3333 0.2500  12 Ni 2.67
Te 0.3333 0.6667 0.7500  12 Ni 2.67

Output
Final energy, eV per atom: -4.938
Space group: No. 194
Calculated volume, Å³/cell: 105.9



[4]
This record from the Open Quantum Materials Database describes NiTe after structural relaxation. The functional is PBE-GGA.

abc: 3.8308 3.8308 3.8308
angles: 56.70 56.70 56.70
Closest atoms and distances in Å follow each position.
Sites, in units of the cell vectors:
Ni 0.0000 0.0000 0.0000  6 Te 2.64
Te 0.5000 0.5000 0.5000  6 Ni 2.64

Output
Final energy, eV per atom: -4.424
Space group: No. 166
Calculated volume, Å³/cell: 36.7



[5]
This record from the Open Quantum Materials Database describes NiTe2 after structural relaxation. The functional is PBE-GGA.

abc: 6.5971 6.5971 12.0221
angles: 90.00 90.00 146.01
Closest atoms and distances in Å follow each position.
Sites, in units of the cell vectors:
Ni 0.3550 0.6450 0.2948  5 Te 2.53-2.61
Ni 0.7054 0.2946 0.4972  5 Te 2.54-2.59
Ni 0.6450 0.3550 0.7948  5 Te 2.53-2.61
Ni 0.2946 0.7054 0.9972  5 Te 2.54-2.59
Te 0.6641 0.3359 0.0112  3 Ni 2.54-2.61
Te 0.9246 0.0754 0.0143  2 Ni 2.54
Te 0.9827 0.0173 0.2674  2 Ni 2.53
Te 0.7258 0.2742 0.2828  3 Ni 2.53-2.59
Te 0.3359 0.6641 0.5112  3 Ni 2.54-2.61
Te 0.0754 0.9246 0.5143  2 Ni 2.54
Te 0.0173 0.9827 0.7674  2 Ni 2.53
Te 0.2742 0.7258 0.7828  3 Ni 2.53-2.59

Output
Final energy, eV per atom: -4.074
Space group: No. 36
Calculated volume, Å³/cell: 292.5



[6]
This record from the Open Quantum Materials Database describes Ni2Te after structural relaxation. The functional is PBE-GGA.

abc: 5.2533 5.2533 4.1144
angles: 90.00 90.00 90.00
Closest atoms and distances in Å follow each position.
Sites, in units of the cell vectors:
Ni 0.3273 0.3273 0.0000  3 Te 2.42-2.43, 1 Ni 2.57
Ni 0.6727 0.6727 0.0000  3 Te 2.42-2.43, 1 Ni 2.57
Ni 0.8273 0.1727 0.5000  3 Te 2.42-2.43, 1 Ni 2.57
Ni 0.1727 0.8273 0.5000  3 Te 2.42-2.43, 1 Ni 2.57
Te 0.0000 0.0000 0.0000  6 Ni 2.42-2.43
Te 0.5000 0.5000 0.5000  6 Ni 2.42-2.43

Output
Final energy, eV per atom: -4.385
Space group: No. 136
Calculated volume, Å³/cell: 113.5



[7]
This record from the Open Quantum Materials Database describes NiTe3 after structural relaxation. The functional is PBE-GGA.

abc: 8.4762 8.4762 3.6145
angles: 90.00 90.00 120.00
Closest atoms and distances in Å follow each position.
Sites, in units of the cell vectors:
Ni 0.6667 0.3333 0.2500  6 Te 2.59
Ni 0.3333 0.6667 0.7500  6 Te 2.59
Te 0.2073 0.4147 0.2500  2 Ni 2.59
Te 0.5853 0.7927 0.2500  2 Ni 2.59
Te 0.2073 0.7927 0.2500  2 Ni 2.59
Te 0.7927 0.2073 0.7500  2 Ni 2.59
Te 0.4147 0.2073 0.7500  2 Ni 2.59
Te 0.7927 0.5853 0.7500  2 Ni 2.59

Output
Final energy, eV per atom: -3.723
Space group: No. 194
Calculated volume, Å³/cell: 224.9



[8]
This record from the Open Quantum Materials Database describes NiTe2 after structural relaxation. The functional is PBE-GGA.

abc: 6.0629 6.0629 6.0629
angles: 60.00 60.00 60.00
Closest atoms and distances in Å follow each position.
Sites, in units of the cell vectors:
Ni 0.0000 0.0000 0.0000  12 Te 3.55, 4 Ni 3.71
Ni 0.2500 0.2500 0.2500  12 Te 3.55, 4 Ni 3.71
Te 0.6250 0.6250 0.1250  6 Te 3.03
Te 0.6250 0.1250 0.6250  6 Te 3.03
Te 0.1250 0.6250 0.6250  6 Te 3.03
Te 0.6250 0.6250 0.6250  6 Te 3.03

Output
Final energy, eV per atom: -2.778
Space group: No. 227
Calculated volume, Å³/cell: 157.6



[9]
This record from the Open Quantum Materials Database describes NiTe2 after structural relaxation. The functional is PBE-GGA.

abc: 3.8516 6.6922 11.1339
angles: 90.00 90.00 90.00
Closest atoms and distances in Å follow each position.
Sites, in units of the cell vectors:
Ni 0.5000 0.0291 0.0071  6 Te 2.57-2.60
Ni 0.0000 0.5286 0.0077  6 Te 2.57-2.60
Ni 0.0000 0.9709 0.5071  6 Te 2.57-2.60
Ni 0.5000 0.4714 0.5077  6 Te 2.57-2.60
Te 0.0000 0.8586 0.1253  3 Ni 2.57-2.60
Te 0.5000 0.3580 0.1259  3 Ni 2.57-2.60
Te 0.5000 0.8011 0.3888  3 Ni 2.57-2.60
Te 0.0000 0.3016 0.3894  3 Ni 2.57-2.59
Te 0.5000 0.1414 0.6253  3 Ni 2.57-2.60
Te 0.0000 0.6420 0.6259  3 Ni 2.57-2.60
Te 0.0000 0.1989 0.8888  3 Ni 2.57-2.60
Te 0.5000 0.6984 0.8894  3 Ni 2.57-2.59

Output
Final energy, eV per atom: -4.163
Space group: No. 31
Calculated volume, Å³/cell: 287.0



[10]
This record from the Open Quantum Materials Database describes Ni9Te after structural relaxation. The functional is PBE-GGA.

abc: 2.7238 2.7238 41.8304
angles: 90.00 90.00 90.00
Closest atoms and distances in Å follow each position.
Sites, in units of the cell vectors:
Ni 0.5000 0.0000 0.1926  8 Ni 2.49-2.72, 4 Te 2.71
Ni 0.0000 0.5000 0.2304  8 Ni 2.42-2.49
Ni 0.5000 0.0000 0.2656  8 Ni 2.42-2.45
Ni 0.0000 0.5000 0.3017  12 Ni 2.44-2.72
Ni 0.5000 0.0000 0.3377  12 Ni 2.44-2.72
Ni 0.0000 0.5000 0.3738  12 Ni 2.44-2.72
Ni 0.5000 0.0000 0.4098  12 Ni 2.44-2.72
Ni 0.0000 0.5000 0.4458  12 Ni 2.44-2.72
Ni 0.5000 0.0000 0.4820  12 Ni 2.44-2.72
Ni 0.0000 0.5000 0.5180  12 Ni 2.44-2.72
Ni 0.5000 0.0000 0.5542  12 Ni 2.44-2.72
Ni 0.0000 0.5000 0.5902  12 Ni 2.44-2.72
Ni 0.5000 0.0000 0.6262  12 Ni 2.44-2.72
Ni 0.0000 0.5000 0.6623  12 Ni 2.44-2.72
Ni 0.5000 0.0000 0.6983  12 Ni 2.44-2.72
Ni 0.0000 0.5000 0.7344  8 Ni 2.42-2.45
Ni 0.5000 0.0000 0.7696  8 Ni 2.42-2.49
Ni 0.0000 0.5000 0.8074  8 Ni 2.49-2.72, 4 Te 2.71
Te 0.0000 0.5000 0.1471  4 Ni 2.71, 4 Te 2.72
Te 0.5000 0.0000 0.8529  4 Ni 2.71, 4 Te 2.72

Output
Space group: No. 129
Calculated volume, Å³/cell: 310.3
E above lowest polymorph, eV per atom: 0.084